Computed, not measured: crystalline RbAg3Ru at its relaxed geometry at the PBE level of DFT.

Cell: 5.2565 5.2565 5.2565 Å, 90.00 90.00 90.00°
With the nearest neighbours (Å) after each atom.
Positions (direct):
1 Rb 0.0000 0.0000 0.0000  12 Ag 3.72
2 Ag 0.0000 0.5000 0.5000  2 Ru 2.63
3 Ag 0.5000 0.0000 0.5000  2 Ru 2.63
4 Ag 0.5000 0.5000 0.0000  2 Ru 2.63
5 Ru 0.5000 0.5000 0.5000  6 Ag 2.63

The calculation puts the distance to the lowest polymorph of the same formula at 0 meV/atom. Its space group is Pm-3m (221). The total energy is -14.8 eV per cell. The density of states at the Fermi level comes out at 0.8680 states/eV/atom. For the formation energy, the calculation gives 0.8033 eV per atom.